Entry 1:
Here is an optimized crystal structure of Zn2PO from the Alexandria database. Energies are from PBE-GGA.

Results
- DOS at the Fermi energy (states/eV per atom) = 0.474
- DFT total energy (eV/atom) = -3.78
- space group = I-42d
- formation energy (no corrections) (eV/atom) = -0.55
- distance to the lowest polymorph of the same formula (kcal/mol of atoms) = 0.00

abc: 5.1551 5.1551 6.0643
angles: 64.85 64.85 90.00
Closest atoms and distances in Å follow each position.
Atoms (fractional coordinates):
Zn 0.3750 0.4323 0.7500  2 O 2.03
Zn 0.1823 0.6250 0.2500  2 O 2.03
Zn 0.8750 0.8177 0.7500  2 O 2.03
Zn 0.5677 0.1250 0.2500  2 O 2.03
O 0.2500 0.7500 0.5000  4 Zn 2.03
O 0.5000 0.5000 0.0000  4 Zn 2.03
P 0.7500 0.2500 0.5000  4 Zn 2.37
P 0.0000 0.0000 0.0000  4 Zn 2.37

***

Entry 2:
Here is an optimized crystal structure of Zn2PO6 from the Alexandria database. Energies are from PBE-GGA.

Results
- DOS at the Fermi energy (states/eV per atom) = 0.734
- DFT total energy (eV/atom) = -5.28
- space group = P4_2/mnm
- formation energy (no corrections) (eV/atom) = -1.09

abc: 4.5304 4.5304 8.8353
angles: 90.00 90.00 90.00
Closest atoms and distances in Å follow each position.
Atoms (fractional coordinates):
P 0.0000 0.0000 0.0000  6 O 1.69-1.71
P 0.5000 0.5000 0.5000  6 O 1.69-1.71
O 0.6790 0.6790 0.3601  1 P 1.69
O 0.1790 0.8210 0.1399  1 P 1.69
O 0.1790 0.8210 0.8601  1 P 1.69
O 0.3210 0.3210 0.3601  1 P 1.69
O 0.7670 0.2330 0.5000  1 P 1.71
O 0.7330 0.7330 0.0000  1 P 1.71
O 0.6790 0.6790 0.6399  1 P 1.69
O 0.2670 0.2670 0.0000  1 P 1.71
O 0.2330 0.7670 0.5000  1 P 1.71
O 0.3210 0.3210 0.6399  1 P 1.69
O 0.8210 0.1790 0.8601  1 P 1.69
O 0.8210 0.1790 0.1399  1 P 1.69
Zn 0.0000 0.0000 0.6667  6 O 2.06-2.10
Zn 0.5000 0.5000 0.1667  6 O 2.06-2.10
Zn 0.0000 0.0000 0.3333  6 O 2.06-2.10
Zn 0.5000 0.5000 0.8333  6 O 2.06-2.10